Computed, not measured: RuSeBr2 after structural relaxation at the PBE level of DFT.

a = 3.1621 Å, b = 4.4972 Å, c = 14.6416 Å
α = 90.00°, β = 90.00°, γ = 90.00°
Closest atoms and distances in Å follow each position.
Space group Immm (No. 71)
One atom of each set of equivalent atoms:
Ru1 0.0000 0.0000 0.0000  4 Br 2.60, 4 Se 2.75
Se1 0.0000 0.0000 0.5000  4 Ru 2.75, 4 Br 3.05
Br1 0.0000 0.5000 0.3592  2 Ru 2.60

## Properties
Total magnetization   0.00 μB per formula unit
VASP energy   -30.494 eV/cell
Polymorph energy (0 for the lowest one)   404 meV per atom



Computed, not measured: Mn3IBr after structural relaxation at the PBE level of DFT.

a = 5.0419 Å, b = 5.0419 Å, c = 5.0419 Å
α = 90.00°, β = 90.00°, γ = 90.00°
Closest atoms and distances in Å follow each position.
Space group Pm-3m (No. 221)
One atom of each set of equivalent atoms:
Mn1 0.0000 0.0000 0.5000  2 I 2.52
I1 0.0000 0.0000 0.0000  6 Mn 2.52
Br1 0.5000 0.5000 0.5000  12 Mn 3.57

## Properties
Total magnetization   11.06 μB per formula unit
VASP energy   -24.838 eV/cell
Polymorph energy (0 for the lowest one)   189 meV per atom



Computed, not measured: LiDy2IO6 after structural relaxation at the PBE level of DFT.

a = 5.7633 Å, b = 5.7673 Å, c = 5.9163 Å
α = 90.04°, β = 119.14°, γ = 119.97°
Closest atoms and distances in Å follow each position.
Space group P1 (No. 1)
One atom of each set of equivalent atoms:
Li1 0.0000 0.0000 0.0000  6 O 2.29-2.36
Dy1 0.4138 0.2082 0.6205  6 O 2.27-2.30
Dy2 0.4416 0.7221 0.1616  6 O 2.20-2.42
I1 0.0135 0.5083 0.5200  6 O 2.01-2.24
O1 0.1803 0.8613 0.7824  1 I 2.02
O2 0.2016 0.8057 0.3144  2 Dy 2.20-2.27, 1 I 2.24, 1 Li 2.29
O3 0.4626 0.6040 0.7824  1 I 2.02
O4 0.5124 0.3996 0.3152  2 Dy 2.20-2.28, 1 I 2.23, 1 Li 2.31
O5 0.9175 0.1153 0.3148  2 Dy 2.20-2.27, 1 I 2.24, 1 Li 2.31
O6 0.9231 0.3222 0.7821  1 I 2.01

## Properties
Total magnetization   0.00 μB per formula unit
VASP energy   -63.983 eV/cell



Computed, not measured: Ca4SiW after structural relaxation at the PBE level of DFT.

a = 8.7170 Å, b = 8.7170 Å, c = 8.7170 Å
α = 90.00°, β = 90.00°, γ = 90.00°
Closest atoms and distances in Å follow each position.
Space group F-43m (No. 216)
One atom of each set of equivalent atoms:
Ca1 0.1253 0.1253 0.1253  6 Ca 3.07-3.09
Si1 0.2500 0.2500 0.7500  12 Ca 3.61, 4 W 3.77
W1 0.0000 0.0000 0.5000  12 Ca 3.61, 4 Si 3.77

## Properties
Total magnetization   3.03 μB per formula unit
VASP energy   -77.122 eV/cell



Computed, not measured: BeSi2Cl after structural relaxation at the PBE level of DFT.

a = 3.5677 Å, b = 3.5677 Å, c = 18.4148 Å
α = 90.00°, β = 90.00°, γ = 120.00°
Closest atoms and distances in Å follow each position.
Space group R-3m (No. 166, hexagonal axes)
One atom of each set of equivalent atoms:
Be1 0.0000 0.0000 0.0000  6 Si 2.25
Si1 0.0000 0.0000 0.2842  3 Be 2.25
Cl1 0.0000 0.0000 0.5000  6 Si 2.99

## Properties
Total magnetization   0.00 μB per formula unit
VASP energy   -45.844 eV/cell
Polymorph energy (0 for the lowest one)   104 meV per atom



Computed, not measured: Mg7Si4 after structural relaxation at the PBE level of DFT.

a = 5.1612 Å, b = 6.0607 Å, c = 14.3559 Å
α = 96.12°, β = 91.91°, γ = 90.50°
Closest atoms and distances in Å follow each position.
Space group P1 (No. 1)
One atom of each set of equivalent atoms:
Mg1 0.0000 0.0000 0.0000  4 Si 2.66-2.96, 1 Mg 2.97
Mg2 0.0033 0.7437 0.2879  3 Si 2.64-2.78
Mg3 0.0206 0.4765 0.9385  3 Si 2.68-2.77, 1 Mg 2.96
Mg4 0.2468 0.8498 0.5218  3 Si 2.67-2.93, 1 Mg 2.88
Mg5 0.2665 0.3771 0.5304  4 Si 2.68-2.99, 1 Mg 2.88
Mg6 0.3001 0.6758 0.7537  2 Si 2.75-2.80
Mg7 0.5088 0.4913 0.3292  4 Si 2.79-2.98, 2 Mg 3.07-3.11
Mg8 0.5120 0.7350 0.9657  2 Si 2.66-2.69, 2 Mg 2.96-2.97
Mg9 0.5240 0.2102 0.8733  3 Si 2.75-2.94, 1 Mg 3.08
Mg10 0.5432 0.9918 0.2058  4 Si 2.77-2.99, 1 Mg 3.09
Mg11 0.7018 0.4592 0.1167  5 Si 2.72-2.98, 1 Mg 3.02
Mg12 0.7537 0.9095 0.6504  4 Si 2.67-2.83, 1 Mg 2.97
Mg13 0.7702 0.1129 0.4438  4 Si 2.71-2.98
Mg14 0.7924 0.4020 0.6771  5 Si 2.81-3.02, 2 Mg 2.97-3.15
Si1 0.0200 0.1177 0.8120  2 Si 2.41-2.44, 1 Mg 2.68
Si2 0.2018 0.6880 0.1094  1 Si 2.42, 1 Mg 2.69
Si3 0.2119 0.2981 0.1310  2 Si 2.42-2.43, 1 Mg 2.66
Si4 0.2754 0.0808 0.3744  1 Si 2.45, 4 Mg 2.64-2.72
Si5 0.2957 0.1533 0.6817  1 Si 2.41, 1 Mg 2.68
Si6 0.7576 0.5976 0.5043  7 Mg 2.67-2.99
Si7 0.8118 0.7582 0.8200  1 Si 2.44, 2 Mg 2.66-2.70
Si8 0.9895 0.2881 0.2770  2 Si 2.43-2.45

## Properties
Total magnetization   0.00 μB per formula unit
VASP energy   -64.944 eV/cell
Polymorph energy (0 for the lowest one)   19 meV per atom